# Cs2AgAsS4 (GGA-PBE, relaxed)
# Calculated volume (A^3/atom): 32.5
# Formation energy (no corrections) (meV per atom): -647
# Energy relative to the lowest polymorph listed for this composition (meV per atom): 0
data_Cs2AgAsS4
_chemical_formula_sum 'Cs4 Ag2 As2 S8'
_cell_length_a 6.967
_cell_length_b 7.335
_cell_length_c 11.619
_cell_angle_alpha 72.34
_cell_angle_beta 72.86
_cell_angle_gamma 70.35
_space_group_name_H-M_alt 'P -1'
_space_group_IT_number 2
loop_
_space_group_symop_operation_xyz
'x,y,z'
'-x,-y,-z'
loop_
_atom_site_label
_atom_site_type_symbol
_atom_site_fract_x
_atom_site_fract_y
_atom_site_fract_z
Cs1 Cs 0.243 0.268 0.097
Cs2 Cs 0.257 0.027 0.682
Ag1 Ag 0.128 0.598 0.585
As1 As 0.365 0.631 0.274
S1 S 0.243 0.851 0.390
S2 S 0.252 0.761 0.104
S3 S 0.263 0.360 0.380
S4 S 0.288 0.451 0.771